Below is a geometry-optimized LaBe2F structure, with properties calculated at the GGA-PBE level.

Cell: 4.698 4.698 4.698 Å, 60.00 60.00 60.00°
Positions (direct):
Be 0.250 0.250 0.250
Be 0.750 0.750 0.750
F 0.000 0.000 0.000
La 0.500 0.500 0.500

## Properties
ΔE to the lowest computed polymorph   37.98 kJ/mol of atoms
Energy relative to the elements, uncorrected   0.23 eV/atom
Crystal system   cubic